This record from Alexandria describes crystalline Na2CrPdO4 at its relaxed geometry. The functional is GGA+U.

POSCAR file:
```
Na2CrPdO4
1.0
5.1206 0.2018 0.3092
-1.9993 4.7185 -0.3092
-1.9993 -2.1819 4.1951
Na Cr Pd O
2 1 1 4
direct
0.5000 0.7500 0.2500 Na
0.0000 0.0000 0.0000 Na
0.0000 0.5000 0.5000 Cr
0.5000 0.2500 0.7500 Pd
0.6549 0.4964 0.5304 O
0.0340 0.1585 0.5036 O
0.9660 0.4696 0.1245 O
0.3451 0.8755 0.8415 O
```

Results
- VASP energy (eV/atom) = -5.65